No. 1
The following is a DFT calculation (PBE-GGA) of a relaxed structure of CsInSnPb2.

The structure belongs to space group I-4m2 (No. 119); the cell edges are 5.151, 5.151 and 14.154 Å and the angles 90.00°, 90.00° and 90.00°. The asymmetric unit holds Cs at (0.000, 0.000, 0.000), In at (0.000, 0.500, 0.250), Sn at (0.000, 0.500, 0.750) and Pb at (0.000, 0.000, 0.378).

As for the energy relative to the elements: -0.12 eV per atom. For the density of states at the Fermi level, the calculation gives 4.7 states/eV/cell.


No. 2
The following is a DFT calculation (PBE-GGA) of a relaxed structure of Cs2InSn3Pb4.

The structure belongs to space group P-4m2 (No. 115); the cell edges are 5.260, 5.260 and 13.658 Å and the angles 90.00°, 90.00° and 90.00°. The asymmetric unit holds Cs at (0.000, 0.500, 0.248), In at (0.500, 0.500, 0.000), Sn at (0.000, 0.000, 0.000), Sn at (0.000, 0.500, 0.628), Pb at (0.000, 0.000, 0.500), Pb at (0.000, 0.500, 0.870) and Pb at (0.500, 0.500, 0.500).

As for the energy relative to the elements: -0.13 eV per atom. For the density of states at the Fermi level, the calculation gives 4.4 states/eV/cell.


No. 3
The following is a DFT calculation (PBE-GGA) of a relaxed structure of CsIn4Sn2Pb.

The structure belongs to space group R-3m (No. 166, hexagonal axes); the cell edges are 5.5020, 5.5020 and 32.1263 Å and the angles 90.00°, 90.00° and 120.00°. The asymmetric unit holds Cs at (0.0000, 0.0000, 0.0000), In at (0.0000, 0.0000, 0.1258), In at (0.0000, 0.0000, 0.4063), Sn at (0.0000, 0.0000, 0.2244) and Pb at (0.0000, 0.0000, 0.5000).

As for the energy relative to the elements: -0.02 eV per atom. For the density of states at the Fermi level, the calculation gives 13.6 states/eV/cell.